Below is a relaxed Ge2WF crystal, with properties calculated at the PBE+U level.

Space-group type ... Fm-3m
Distance to the lowest polymorph of the same formula ... 0 meV/atom
VASP energy ... -17.62 eV for the cell shown
Total magnetic moment ... 3.06 μB/f.u.

a b c (Å): 4.5711 4.5711 4.5711
angles (deg): 60.00 60.00 60.00
Last column: nearest neighbours and their distance in Å.
Sites, in units of the cell vectors:
W 0.5000 0.5000 0.5000  8 Ge 2.80
F 0.0000 0.0000 0.0000  8 Ge 2.80
Ge 0.2500 0.2500 0.2500  4 F 2.80, 4 W 2.80
Ge 0.7500 0.7500 0.7500  4 W 2.80, 4 F 2.80